[1]
First-principles (PBE) data for crystalline InRhSe at its relaxed geometry, as listed in Alexandria.

Offset from the most stable computed form (eV per atom): 0.026
ΔE_f (raw) (meV per atom): -183
Symmetry: No. 38
Crystal system: orthorhombic

Lattice parameters (Å, degrees): 3.3856 3.3861 12.9355 90.00 90.00 120.00
Last column: nearest neighbours and their distance in Å.
Element x y z (fractional)
Rh 0.2780 0.5561 0.8351  3 Se 2.42
Se 0.6113 0.2226 0.7244  3 Rh 2.42
Se 0.6113 0.2226 0.2756  3 Rh 2.42
In 0.6113 0.2226 0.0000  6 Rh 2.89
In 0.2767 0.5533 0.5000  6 In 3.39, 6 Se 3.50
Rh 0.2780 0.5561 0.1649  3 Se 2.42


[2]
First-principles (PBE) data for crystalline AlCdPb2 at its relaxed geometry, as listed in Alexandria.

Calculated formation energy (meV per atom): 160
Symmetry: No. 44
Crystal system: orthorhombic

Lattice parameters (Å, degrees): 6.3337 6.3337 6.3337 147.63 128.33 62.31
Last column: nearest neighbours and their distance in Å.
Element x y z (fractional)
Al 0.4873 0.4873 0.0000  2 Cd 2.89, 2 Pb 3.13
Cd 0.2762 0.7762 0.5000  2 Al 2.89
Pb 0.0104 0.0104 0.0000  4 Al 3.29, 2 Cd 3.38, 6 Pb 3.53-3.62
Pb 0.7261 0.2261 0.5000  2 Al 3.13, 4 Cd 3.32


[3]
First-principles (PBE) data for crystalline Mg2MnNb at its relaxed geometry, as listed in Alexandria.

Offset from the most stable computed form (eV per atom): 0.000
Calculated formation energy (meV per atom): 736
Symmetry: No. 225
Crystal system: cubic

Lattice parameters (Å, degrees): 4.5567 4.5567 4.5567 60.00 60.00 60.00
Last column: nearest neighbours and their distance in Å.
Element x y z (fractional)
Mn 0.0000 0.0000 0.0000  8 Mg 2.79
Mg 0.2500 0.2500 0.2500  4 Nb 2.79, 4 Mn 2.79
Nb 0.5000 0.5000 0.5000  8 Mg 2.79
Mg 0.7500 0.7500 0.7500  4 Mn 2.79, 4 Nb 2.79


[4]
First-principles (PBE) data for crystalline NaZr2Ga at its relaxed geometry, as listed in Alexandria.

Calculated formation energy (meV per atom): 387
Symmetry: No. 122
Crystal system: tetragonal

Lattice parameters (Å, degrees): 7.9802 7.9802 6.3194 50.85 50.85 90.00
Last column: nearest neighbours and their distance in Å.
Element x y z (fractional)
Ga 0.0000 0.0000 0.0000  4 Zr 2.77, 2 Na 2.84
Zr 0.8750 0.9011 0.7500  2 Ga 2.77, 2 Zr 2.88, 2 Na 3.06
Ga 0.7500 0.2500 0.5000  4 Zr 2.77, 2 Na 2.84
Zr 0.6511 0.1250 0.2500  2 Ga 2.77, 2 Zr 2.88, 2 Na 3.06
Na 0.5000 0.5000 0.0000  2 Ga 2.84, 4 Zr 3.06
Na 0.2500 0.7500 0.5000  2 Ga 2.84, 4 Zr 3.06
Zr 0.0989 0.6250 0.2500  2 Ga 2.77, 2 Zr 2.88, 2 Na 3.06
Zr 0.3750 0.3489 0.7500  2 Ga 2.77, 2 Zr 2.88, 2 Na 3.06


[5]
First-principles (PBE) data for crystalline Pm5Hg2Os at its relaxed geometry, as listed in Alexandria.

Calculated formation energy (meV per atom): -305
Symmetry: No. 55
Crystal system: orthorhombic

Lattice parameters (Å, degrees): 4.8301 7.8518 12.1740 90.00 90.00 90.00
Last column: nearest neighbours and their distance in Å.
Element x y z (fractional)
Pm 0.5000 0.3200 0.5756  2 Os 2.95, 2 Hg 3.26
Pm 0.0000 0.8523 0.2026  1 Os 2.73
Os 0.0000 0.5000 0.5000  6 Pm 2.73-2.95
Pm 0.0000 0.6477 0.7026  1 Os 2.73
Pm 0.5000 0.8200 0.9244  2 Os 2.95, 2 Hg 3.26
Pm 0.5000 0.6800 0.4244  2 Os 2.95, 2 Hg 3.26
Pm 0.0000 0.0000 0.5000  4 Hg 3.20
Hg 0.5000 0.0714 0.3338  9 Pm 3.20-3.53
Hg 0.5000 0.4286 0.8338  9 Pm 3.20-3.53
Pm 0.0000 0.5000 0.0000  4 Hg 3.20
Pm 0.0000 0.3523 0.2974  1 Os 2.73
Pm 0.5000 0.1800 0.0756  2 Os 2.95, 2 Hg 3.26
Pm 0.0000 0.1477 0.7974  1 Os 2.73
Hg 0.5000 0.9286 0.6662  9 Pm 3.20-3.53
Os 0.0000 0.0000 0.0000  6 Pm 2.73-2.95
Hg 0.5000 0.5714 0.1662  9 Pm 3.20-3.53


[6]
First-principles (PBE) data for crystalline CaSc2Br at its relaxed geometry, as listed in Alexandria.

Offset from the most stable computed form (eV per atom): 0.326
ΔE_f (raw) (meV per atom): -131
Symmetry: No. 122
Crystal system: tetragonal

Lattice parameters (Å, degrees): 8.5983 8.5983 6.7922 50.73 50.73 90.00
Last column: nearest neighbours and their distance in Å.
Element x y z (fractional)
Ca 0.5000 0.5000 0.0000  2 Br 3.03
Br 0.7500 0.2500 0.5000  4 Sc 2.72, 2 Ca 3.03
Sc 0.3750 0.2978 0.7500  2 Br 2.72
Sc 0.0478 0.6250 0.2500  2 Br 2.72
Ca 0.2500 0.7500 0.5000  2 Br 3.03
Sc 0.8750 0.9522 0.7500  2 Br 2.72
Br 0.0000 0.0000 0.0000  4 Sc 2.72, 2 Ca 3.03
Sc 0.7022 0.1250 0.2500  2 Br 2.72


| no. | calculated total energy (eV/atom) | density (Mg/m³) |
| --- | --- | --- |
| 1 | -4.71 | 7.7 |
| 2 | -2.86 | 8.7 |
| 3 | -4.87 | 4.9 |
| 4 | -4.97 | 5.0 |
| 5 | -4.75 | 9.5 |
| 6 | -4.22 | 3.1 |